The following is a PBE calculation of a relaxed structure of CaMn2Rh, from the Alexandria database.

Unit cell a=9.4385 b=9.4385 c=9.4385 alpha=18.53 beta=18.53 gamma=18.53
Element x y z (fractional)
Ca: 0.0000 0.0000 0.0000
Mn: 0.2370 0.2370 0.2370
Mn: 0.7630 0.7630 0.7630
Rh: 0.5000 0.5000 0.5000

Computed properties:
E_form (eV per atom): 0.52
Space group: R-3m (166)
Calculated density (g/cm³): 5.7
Spin magnetization (μB/cell): 8.0